(1)
A relaxed structure of NiMoAs2, computed with GGA-PBE.

Lattice parameters (Å, degrees): 5.8052 3.3917 12.2271 90.00 90.00 90.00
Space group Pnma (No. 62)
One atom of each set of equivalent atoms:
Ni: 0.0317 0.2500 0.0872 (multiplicity 4)
Mo: 0.0050 0.2500 0.3312 (multiplicity 4)
As: 0.1543 0.2500 0.8087 (multiplicity 4)
As: 0.1947 0.2500 0.5327 (multiplicity 4)

## Properties
Energy in eV/atom: -6.663
Crystal system: orthorhombic
Magnetization in μB/f.u.: 0.00



(2)
A relaxed structure of ZnCdTeO, computed with GGA-PBE.

Lattice parameters (Å, degrees): 6.3422 7.8470 6.2492 90.00 90.00 90.00
Space group Pca2_1 (No. 29)
One atom of each set of equivalent atoms:
Zn: 0.1092 0.1735 0.0000 (multiplicity 4)
Cd: 0.2426 0.5596 0.1821 (multiplicity 4)
Te: 0.0180 0.8477 0.9172 (multiplicity 4)
O: 0.0333 0.4116 0.9320 (multiplicity 4)

## Properties
Crystal system: orthorhombic
Offset from the most stable computed form in eV per atom: 0.125



(3)
A relaxed structure of AcTlTc, computed with GGA-PBE.

Lattice parameters (Å, degrees): 7.1092 7.1092 7.1092 90.00 90.00 90.00
Space group F-43m (No. 216)
One atom of each set of equivalent atoms:
Ac: 0.0000 0.0000 0.0000 (multiplicity 4)
Tl: 0.2500 0.2500 0.2500 (multiplicity 4)
Tc: 0.0000 0.0000 0.5000 (multiplicity 4)

## Properties
Crystal system: cubic
Magnetization in μB/f.u.: 0.62
Offset from the most stable computed form in eV per atom: 0.000



Question: Which formula does entry 1 have?
Answer: NiMoAs2